Model a:
The following is a GGA-PBE calculation of a relaxed NbBW3 crystal, from Alexandria.

Properties
For the theoretical density, the calculation gives 14.18 g/cm3. The magnetization comes out at 0.0 Bohr magnetons per cell.

Geometry as extended XYZ:
```
5
Lattice="-0.2503 -2.4021 3.4961 -1.1120 -3.3425 -2.3762 4.0934 -1.0549 -0.4318" Properties=species:S:1:pos:R:3 pbc="T T T"
Nb 1.3655 -3.3998 0.3440
W 2.0467 -0.5275 -0.2159
W -0.5560 -1.6712 -1.1881
W -0.1252 -1.2011 1.7480
B 0.0000 0.0000 0.0000
```

---

Model b:
The following is a GGA-PBE calculation of a relaxed NbBW3 crystal, from Alexandria.

Properties
For the theoretical density, the calculation gives 10.11 g/cm3. The magnetization comes out at 0.0 Bohr magnetons per cell.

Geometry as extended XYZ:
```
5
Lattice="4.7569 0.0000 0.0000 0.0000 4.7569 0.0000 0.0000 0.0000 4.7569" Properties=species:S:1:pos:R:3 pbc="T T T"
W 2.3785 0.0000 0.0000
W 0.0000 0.0000 2.3785
W 0.0000 2.3785 0.0000
Nb 0.0000 0.0000 0.0000
B 2.3785 2.3785 2.3785
```

---

The most stable structure shown above is model a; the least stable is model b.